Below is a relaxed structure of Pr8DyHo6, with properties calculated at the PBE level.

Computed properties:
As for the calculated volume: 34.00 Å³/atom. For the energy of formation, the calculation gives 2.499 eV per formula unit. Its energy is -4.520 eV/atom. Its density of states at the Fermi level is 1.4960 states/eV/atom. The calculation puts the total magnetization at 0.0 μB/f.u.

a b c (Å): 9.9053 9.9053 18.0082
angles (deg): 90.00 90.00 120.00
Space group R-3 (No. 148, hexagonal axes)
One atom of each set of equivalent atoms:
Pr 0.0000 0.0000 0.0874 x6
Pr 0.0539 0.8162 0.6716 x18
Dy 0.0000 0.0000 0.5000 x3
Ho 0.0382 0.7496 0.1767 x18